Computed, not measured: crystalline Pa2Fe12P7 at its relaxed geometry at the PBE level of DFT.

Raw total energy   -8.295 eV per atom
N(E_F)   0.4957 states/eV per atom
SG   P-6 (174)
Theoretical density   8.83 g cm⁻³
Formation energy   -73 kJ/mol of atoms

Cell lengths 3.628, 8.984, 8.984 Å; angles 120.00, 90.00, 90.00 degrees
Last column: magnetic moment on the atom in μB.
Element x y z (fractional)
Fe  0.000  0.483  0.940  -0.14
Fe  0.500  0.212  0.441  1.16
P  0.000  0.034  0.771  0.00
Fe  0.500  0.894  0.609  -0.19
Fe  0.000  0.266  0.035  -0.22
Fe  0.000  0.965  0.232  -0.22
P  0.000  0.736  0.966  0.00
Fe  0.500  0.229  0.788  1.16
Fe  0.500  0.715  0.106  -0.19
Pa  0.500  0.000  0.000  -0.01
P  0.500  0.937  0.375  -0.01
Fe  0.500  0.391  0.285  -0.19
Fe  0.000  0.060  0.543  -0.14
P  0.500  0.625  0.562  -0.01
P  0.000  0.229  0.264  0.00
Fe  0.500  0.559  0.771  1.16
Pa  0.000  0.667  0.333  -0.06
Fe  0.000  0.457  0.517  -0.14
Fe  0.000  0.768  0.734  -0.22
P  0.000  0.333  0.667  -0.01
P  0.500  0.438  0.063  -0.01